(1)
Ba4NaPu3O12: relaxed, GGA-PBE.

Properties
DOS(E_F) ... 0.801 states/eV per atom
Calculated density ... 7414 kg/m³
Space-group type ... Im-3m (229)

```
20
Lattice="-4.3756 4.3756 4.3756 4.3756 -4.3756 4.3756 4.3756 4.3756 -4.3756" Properties=species:S:1:pos:R:3 pbc="T T T"
Ba 2.1878 2.1878 -2.1878
Ba 2.1878 -2.1878 2.1878
Ba -2.1878 2.1878 2.1878
Ba 2.1878 2.1878 2.1878
Na 0.0000 0.0000 0.0000
Pu 4.3756 0.0000 0.0000
Pu 0.0000 4.3756 0.0000
Pu 0.0000 0.0000 4.3756
O 2.3680 0.0000 0.0000
O 6.3833 0.0000 0.0000
O 4.3756 2.1878 0.0000
O 4.3756 0.0000 2.1878
O 0.0000 2.3680 0.0000
O 0.0000 0.0000 2.3680
O 2.1878 4.3756 0.0000
O 2.1878 0.0000 4.3756
O 0.0000 6.3833 0.0000
O 0.0000 0.0000 6.3833
O 0.0000 4.3756 2.1878
O 0.0000 2.1878 4.3756
```



(2)
Y2NpSbN5: relaxed, GGA-PBE.

Properties
DOS(E_F) ... 0.698 states/eV per atom
Calculated density ... 7439 kg/m³
Space-group type ... Cmc2_1 (36)

```
18
Lattice="1.7145 -6.9762 0.0000 1.7145 6.9762 0.0000 0.0000 0.0000 11.3215" Properties=species:S:1:pos:R:3 pbc="T T T"
Y 1.7145 5.1441 5.6608
Y 1.7145 5.1160 0.1965
Y 1.7145 -5.1160 5.8572
Y 1.7145 -5.1441 0.0000
Np 1.7145 3.6350 8.7215
Np 1.7145 -3.6350 3.0607
Sb 1.7145 0.0115 2.8510
Sb 1.7145 -0.0115 8.5117
N 1.7145 5.9885 9.1022
N 1.7145 3.1565 1.5186
N 1.7145 3.0422 4.5551
N 1.7145 1.6203 9.6854
N 1.7145 0.2626 6.5060
N 1.7145 -0.2626 0.8452
N 1.7145 -1.6203 4.0246
N 1.7145 -3.0422 10.2158
N 1.7145 -3.1565 7.1794
N 1.7145 -5.9885 3.4415
```



(3)
InSiB: relaxed, GGA-PBE.

Properties
DOS(E_F) ... 0.255 states/eV per atom
Calculated density ... 4838 kg/m³
Space-group type ... P-1 (2)

```
6
Lattice="3.4871 0.0000 0.0000 -0.0037 5.0026 0.0000 -0.0054 -0.0132 6.0489" Properties=species:S:1:pos:R:3 pbc="T T T"
In 0.0358 -0.0020 1.5354
In 3.4422 4.9914 4.5135
Si 1.7319 2.4912 4.1968
Si 1.7461 2.4983 1.8520
B 0.0019 2.4989 0.8528
B 3.4761 2.4906 5.1960
```



(4)
BeP2PdO: relaxed, GGA-PBE.

Properties
DOS(E_F) ... 0.717 states/eV per atom
Calculated density ... 4854 kg/m³
Space-group type ... P4/mmm (123)

```
5
Lattice="4.7898 0.0000 0.0000 0.0000 4.7898 0.0000 0.0000 0.0000 2.8834" Properties=species:S:1:pos:R:3 pbc="T T T"
Be 0.0000 0.0000 0.0000
P 0.0000 2.3949 0.0000
P 2.3949 0.0000 0.0000
Pd 2.3949 2.3949 1.4417
O 0.0000 0.0000 1.4417
```



The records above yield calculated volume values of 335; 271; 106; 66 Å³ per cell, respectively.
The records above yield formation energy from raw total energies values of -2807.6; -785.5; 286.4; -136.4 meV per atom, respectively.